Material: SrRe2Os
Method: DFT, PBE-GGA
State: relaxed

Values from the calculation:
total magnetization = 0.0 Bohr magnetons per cell
density of states at the Fermi level = 5.1 states/eV per cell
offset from the most stable computed form = 0 meV/atom
energy relative to the elements = 2.6 eV per formula unit

Cell: 2.871 2.871 8.810 Å, 90.00 90.00 90.01°
Positions (direct):
Sr 0.000 0.000 0.508
Re 0.500 0.500 0.205
Os 0.500 0.500 0.799
Re 0.000 0.000 0.988